1.
First-principles (GGA-PBEsol) data for crystalline BaGe2W at its relaxed geometry, as listed in the Alexandria database.

## Properties
N(E_F)	12.1	states/eV per cell
energy of formation	0.64	eV/atom
total magnetic moment	0.448	μB/atom
symmetry	Fm-3m

abc: 6.9641 6.9641 6.9641
angles: 90.00 90.00 90.00
Fractional positions:
Ba (0.0000, 0.0000, 0.0000)
Ba (0.0000, 0.5000, 0.5000)
Ba (0.5000, 0.0000, 0.5000)
Ba (0.5000, 0.5000, 0.0000)
Ge (0.2500, 0.2500, 0.2500)
Ge (0.2500, 0.2500, 0.7500)
Ge (0.2500, 0.7500, 0.2500)
Ge (0.2500, 0.7500, 0.7500)
Ge (0.7500, 0.2500, 0.2500)
Ge (0.7500, 0.2500, 0.7500)
Ge (0.7500, 0.7500, 0.2500)
Ge (0.7500, 0.7500, 0.7500)
W (0.0000, 0.0000, 0.5000)
W (0.0000, 0.5000, 0.0000)
W (0.5000, 0.0000, 0.0000)
W (0.5000, 0.5000, 0.5000)

2.
First-principles (GGA-PBEsol) data for crystalline PtSI3 at its relaxed geometry, as listed in the Alexandria database.

## Properties
uncorrected formation energy	580	meV per atom
N(E_F)	6.8	states/eV per cell
total magnetic moment	0.472	μB/atom
symmetry	Pm-3m

abc: 5.3590 5.3590 5.3590
angles: 90.00 90.00 90.00
Fractional positions:
Pt (0.0000, 0.0000, 0.0000)
S (0.5000, 0.5000, 0.5000)
I (0.0000, 0.0000, 0.5000)
I (0.0000, 0.5000, 0.0000)
I (0.5000, 0.0000, 0.0000)

3.
First-principles (GGA-PBEsol) data for crystalline MnMoO4 at its relaxed geometry, as listed in the Alexandria database.

## Properties
uncorrected formation energy	-1791	meV per atom
total magnetic moment	0.833	μB/atom
symmetry	C2/m

abc: 7.0019 7.0019 7.0992
angles: 102.67 102.67 84.20
Fractional positions:
Mn (0.1845, 0.8155, 0.0000)
Mn (0.2061, 0.2061, 0.3627)
Mn (0.7939, 0.7939, 0.6373)
Mn (0.8155, 0.1845, 0.0000)
Mo (0.2486, 0.7514, 0.5000)
Mo (0.2683, 0.2683, 0.9051)
Mo (0.7317, 0.7317, 0.0949)
Mo (0.7514, 0.2486, 0.5000)
O (0.1101, 0.8055, 0.6950)
O (0.1411, 0.1411, 0.0385)
O (0.1945, 0.8899, 0.3050)
O (0.1971, 0.1971, 0.6462)
O (0.2102, 0.5189, 0.9712)
O (0.2138, 0.5048, 0.3918)
O (0.4811, 0.7898, 0.0288)
O (0.4952, 0.7862, 0.6082)
O (0.5048, 0.2138, 0.3918)
O (0.5189, 0.2102, 0.9712)
O (0.7862, 0.4952, 0.6082)
O (0.7898, 0.4811, 0.0288)
O (0.8029, 0.8029, 0.3538)
O (0.8055, 0.1101, 0.6950)
O (0.8589, 0.8589, 0.9615)
O (0.8899, 0.1945, 0.3050)

4.
First-principles (GGA-PBEsol) data for crystalline K2WC at its relaxed geometry, as listed in the Alexandria database.

## Properties
N(E_F)	5.8	states/eV per cell
energy of formation	1.30	eV/atom
total magnetic moment	0.589	μB/atom
symmetry	I-42d

abc: 12.1474 12.1474 4.0014
angles: 90.00 90.00 90.00
Fractional positions:
K (0.0127, 0.7500, 0.1250)
K (0.2500, 0.0127, 0.8750)
K (0.2500, 0.4873, 0.3750)
K (0.4873, 0.7500, 0.6250)
K (0.5127, 0.2500, 0.6250)
K (0.7500, 0.5127, 0.3750)
K (0.7500, 0.9873, 0.8750)
K (0.9873, 0.2500, 0.1250)
W (0.0000, 0.0000, 0.5000)
W (0.0000, 0.5000, 0.7500)
W (0.5000, 0.0000, 0.2500)
W (0.5000, 0.5000, 0.0000)
C (0.0000, 0.0000, 0.0000)
C (0.0000, 0.5000, 0.2500)
C (0.5000, 0.0000, 0.7500)
C (0.5000, 0.5000, 0.5000)

5.
First-principles (GGA-PBEsol) data for crystalline TlCu2S at its relaxed geometry, as listed in the Alexandria database.

## Properties
uncorrected formation energy	325	meV per atom
N(E_F)	3.2	states/eV per cell
total magnetic moment	0.000	μB/atom
symmetry	Fm-3m

abc: 6.3928 6.3928 6.3928
angles: 90.00 90.00 90.00
Fractional positions:
Tl (0.0000, 0.0000, 0.0000)
Tl (0.0000, 0.5000, 0.5000)
Tl (0.5000, 0.0000, 0.5000)
Tl (0.5000, 0.5000, 0.0000)
Cu (0.2500, 0.2500, 0.2500)
Cu (0.2500, 0.2500, 0.7500)
Cu (0.2500, 0.7500, 0.2500)
Cu (0.2500, 0.7500, 0.7500)
Cu (0.7500, 0.2500, 0.2500)
Cu (0.7500, 0.2500, 0.7500)
Cu (0.7500, 0.7500, 0.2500)
Cu (0.7500, 0.7500, 0.7500)
S (0.0000, 0.0000, 0.5000)
S (0.0000, 0.5000, 0.0000)
S (0.5000, 0.0000, 0.0000)
S (0.5000, 0.5000, 0.5000)

6.
First-principles (GGA-PBEsol) data for crystalline CaCr3P3O13 at its relaxed geometry, as listed in the Alexandria database.

## Properties
uncorrected formation energy	-2250	meV per atom
N(E_F)	2.3	states/eV per cell
total magnetic moment	0.450	μB/atom
symmetry	P2_1/m

abc: 7.3945 6.2578 10.1824
angles: 90.00 100.87 90.00
Fractional positions:
Ca (0.1685, 0.2500, 0.2014)
Ca (0.8315, 0.7500, 0.7986)
Cr (0.1400, 0.2500, 0.8027)
Cr (0.2692, 0.7500, 0.4397)
Cr (0.5000, 0.0000, 0.0000)
Cr (0.5000, 0.5000, 0.0000)
Cr (0.7308, 0.2500, 0.5603)
Cr (0.8600, 0.7500, 0.1973)
P (0.1851, 0.7500, 0.1107)
P (0.2387, 0.7500, 0.7654)
P (0.2924, 0.2500, 0.5192)
P (0.7076, 0.7500, 0.4808)
P (0.7613, 0.2500, 0.2346)
P (0.8149, 0.2500, 0.8893)
O (0.0143, 0.2500, 0.9691)
O (0.1177, 0.5601, 0.7913)
O (0.1177, 0.9399, 0.7913)
O (0.1423, 0.7500, 0.2556)
O (0.1603, 0.2500, 0.6180)
O (0.2500, 0.0593, 0.4199)
O (0.2500, 0.4407, 0.4199)
O (0.2921, 0.5446, 0.0932)
O (0.2921, 0.9554, 0.0932)
O (0.2992, 0.7500, 0.6314)
O (0.3791, 0.2500, 0.9013)
O (0.4201, 0.7500, 0.8763)
O (0.4912, 0.2500, 0.5980)
O (0.5088, 0.7500, 0.4020)
O (0.5799, 0.2500, 0.1237)
O (0.6209, 0.7500, 0.0987)
O (0.7008, 0.2500, 0.3686)
O (0.7079, 0.0446, 0.9068)
O (0.7079, 0.4554, 0.9068)
O (0.7500, 0.5593, 0.5801)
O (0.7500, 0.9407, 0.5801)
O (0.8397, 0.7500, 0.3820)
O (0.8577, 0.2500, 0.7444)
O (0.8823, 0.0601, 0.2087)
O (0.8823, 0.4399, 0.2087)
O (0.9857, 0.7500, 0.0309)